1.
12
Lattice="3.651 0.000 0.000 0.000 3.651 0.000 0.000 0.000 10.766" Properties=species:S:1:pos:R:3 comment="Zn2Ni9Sb | Alexandria | PBE | relaxed" crystal_system=tetragonal final_energy_ev_per_cell=-60.21 raw_formation_energy_ev_per_atom=-0.13 pbc="T T T"
Sb 0.000 0.000 0.000
Ni 1.826 1.826 0.000
Ni 1.826 0.000 5.383
Ni 0.000 1.826 5.383
Ni 1.826 1.826 3.633
Ni 0.000 1.826 8.874
Zn 0.000 0.000 3.653
Ni 1.826 0.000 1.892
Ni 0.000 1.826 1.892
Zn 0.000 0.000 7.112
Ni 1.826 0.000 8.874
Ni 1.826 1.826 7.132

2.
5
Lattice="5.233 0.000 0.000 0.000 4.251 0.000 0.000 0.000 5.233" Properties=species:S:1:pos:R:3 comment="LaBe2RhF | Alexandria | PBE | relaxed" crystal_system=tetragonal final_energy_ev_per_cell=-18.30 raw_formation_energy_ev_per_atom=0.66 pbc="T T T"
Rh 2.616 2.125 2.616
La 0.000 0.000 0.000
F 0.000 2.125 0.000
Be 2.616 0.000 0.000
Be 0.000 0.000 2.616

3.
3
Lattice="-1.214 -3.015 -1.343 1.288 -1.750 2.765 -4.792 3.107 1.961" Properties=species:S:1:pos:R:3 comment="DyPaRu | Alexandria | PBE | relaxed" delta_e_f_ev_per_atom=-0.31 crystal_system=tetragonal final_energy_ev_per_cell=-24.32 pbc="T T T"
Ru -1.813 -2.101 1.751
Dy -0.030 0.005 0.017
Pa -2.875 0.438 1.616

4.
5
Lattice="-3.448 2.202 -2.629 -3.421 -2.470 2.418 -0.241 3.564 3.300" Properties=species:S:1:pos:R:3 comment="CoSn3H | Alexandria | PBE | relaxed" crystal_system=cubic final_energy_ev_per_cell=-20.38 pbc="T T T"
Sn -1.724 1.101 -1.315
Co 0.000 0.000 0.000
H -3.555 1.648 1.544
Sn -0.120 1.782 1.650
Sn -1.710 -1.235 1.209

5.
8
Lattice="-3.632 1.668 1.957 -2.038 -7.119 2.285 3.082 -1.437 6.946" Properties=species:S:1:pos:R:3 comment="Sm4Bi2PbSe | Alexandria | PBE | relaxed" crystal_system=monoclinic final_energy_ev_per_cell=-42.12 raw_formation_energy_ev_per_atom=-1.04 pbc="T T T"
Sm -3.378 -0.529 4.302
Sm -2.537 -4.801 4.444
Bi -0.275 0.115 4.451
Sm -0.052 -2.088 6.744
Pb -2.835 -2.726 2.121
Bi 3.082 -1.437 6.946
Se 0.522 -4.278 4.616
Sm 0.789 -6.359 6.886

6.
4
Lattice="-2.694 1.031 -3.745 2.238 -3.313 -2.522 -2.040 -2.063 0.899" Properties=species:S:1:pos:R:3 comment="Ta2AgRu | Alexandria | PBE | relaxed" delta_e_f_ev_per_atom=0.21 crystal_system=tetragonal final_energy_ev_per_cell=-34.98 pbc="T T T"
Ag -2.367 -0.516 -1.423
Ru 0.099 -2.688 -0.811
Ta 0.000 0.000 0.000
Ta -0.228 -1.141 -3.133

7.
5
Lattice="-2.668 -2.786 -1.037 0.964 -2.129 3.240 -2.812 1.913 2.095" Properties=species:S:1:pos:R:3 comment="LiMgBe3 | Alexandria | PBE | relaxed" delta_e_f_ev_per_atom=0.82 crystal_system=cubic final_energy_ev_per_cell=-10.57 pbc="T T T"
Mg -2.258 -1.501 2.149
Be -1.334 -1.393 -0.518
Li 0.000 0.000 0.000
Be 0.482 -1.064 1.620
Be -1.406 0.957 1.047

8.
17
Lattice="7.845 0.000 0.000 -2.615 7.396 0.000 -2.615 -3.698 6.405" Properties=species:S:1:pos:R:3 comment="AcGa4Au12 | Alexandria | PBE | relaxed" delta_e_f_ev_per_atom=-0.13 crystal_system=cubic final_energy_ev_per_cell=-57.80 pbc="T T T"
Ga 1.308 1.849 3.203
Au -0.992 0.702 3.202
Au 3.607 2.996 3.203
Au 5.230 1.849 1.215
Au 2.615 -0.128 2.209
Au 0.000 -1.721 5.412
Au -1.623 4.974 2.209
Au 0.000 3.826 4.197
Au 4.238 -1.276 4.197
Ac 0.000 0.000 0.000
Ga -1.308 -1.849 3.203
Ga -1.308 3.698 0.000
Au 1.623 0.574 5.412
Au 0.992 3.124 0.993
Au -2.615 1.849 5.190
Ga 3.923 0.000 0.000
Au 2.615 5.419 0.993

9.
4
Lattice="4.094 -0.233 0.215 2.248 3.429 0.215 1.779 0.897 5.937" Properties=species:S:1:pos:R:3 comment="KNi2Se | Alexandria | PBE | relaxed" crystal_system=monoclinic final_energy_ev_per_cell=-16.84 raw_formation_energy_ev_per_atom=-0.17 pbc="T T T"
Se 4.000 2.016 4.224
Ni 1.844 0.929 4.797
Ni 6.083 3.066 4.903
K 2.035 1.026 1.564

10.
4
Lattice="6.800 0.004 0.011 -2.708 4.280 0.008 1.385 1.204 2.990" Properties=species:S:1:pos:R:3 comment="Tl2IrSe | Alexandria | PBE | relaxed" crystal_system=monoclinic final_energy_ev_per_cell=-15.03 raw_formation_energy_ev_per_atom=0.51 pbc="T T T"
Tl 0.000 0.000 0.000
Se 2.046 2.142 0.009
Ir -0.661 2.742 1.499
Tl 4.093 0.604 1.500

11.
12
Lattice="4.959 -0.030 1.653 0.039 7.307 0.013 -0.023 -0.015 8.337" Properties=species:S:1:pos:R:3 comment="Dy6Hg5Ge | Alexandria | PBE | relaxed" delta_e_f_ev_per_atom=-0.52 crystal_system=orthorhombic final_energy_ev_per_cell=-39.97 pbc="T T T"
Dy 4.184 5.477 4.078
Dy 0.791 1.786 5.925
Dy 2.510 5.556 0.836
Dy 2.489 1.721 0.829
Hg 3.318 3.624 6.644
Ge 0.000 0.000 0.000
Dy 4.164 1.771 4.072
Hg 1.587 -0.015 3.505
Dy 0.811 5.492 5.931
Hg 1.657 3.639 3.359
Hg 3.349 -0.030 6.485
Hg 0.020 3.653 0.007

12.
4
Lattice="-0.969 3.923 2.807 -3.018 3.519 -1.648 -4.461 0.552 2.002" Properties=species:S:1:pos:R:3 comment="SmMgCdIr | Alexandria | PBE | relaxed" delta_e_f_ev_per_atom=-0.31 crystal_system=cubic final_energy_ev_per_cell=-17.34 pbc="T T T"
Mg -2.112 1.999 0.790
Cd 0.000 0.000 0.000
Ir -4.224 3.997 1.580
Sm -6.336 5.996 2.370

13.
6
Lattice="4.060 -1.537 1.704 0.051 -2.838 3.701 1.199 -4.478 -0.512" Properties=species:S:1:pos:R:3 comment="Ni5Pt | Alexandria | PBE | relaxed" delta_e_f_ev_per_atom=0.10 crystal_system=cubic final_energy_ev_per_cell=-34.34 pbc="T T T"
Ni 2.591 -5.557 1.581
Ni 1.992 -3.321 1.836
Ni 2.018 -4.738 3.684
Ni 3.983 -6.639 3.670
Pt 0.000 0.000 0.000
Ni 4.019 -4.089 2.687

14.
20
Lattice="-2.613 8.772 2.795 -7.582 -1.626 -4.074 0.953 -2.986 8.179" Properties=species:S:1:pos:R:3 comment="PmSmDy2Ho6 | Alexandria | PBE | relaxed" delta_e_f_ev_per_atom=0.12 crystal_system=monoclinic final_energy_ev_per_cell=-89.80 pbc="T T T"
Ho -7.825 -0.081 0.423
Pm -6.063 4.398 3.017
Ho -4.780 0.600 -1.623
Ho -5.207 -1.573 1.481
Ho -2.223 0.854 7.405
Ho -4.562 1.639 1.389
Ho -4.680 2.521 5.511
Dy -7.048 4.831 6.402
Dy -6.630 0.587 3.728
Dy -2.612 3.573 3.172
Sm -1.217 3.626 9.973
Ho -8.889 6.095 1.108
Sm -8.025 0.534 -3.073
Ho -1.417 4.241 6.477
Pm -3.180 -0.239 3.883
Ho -4.463 3.560 8.523
Dy -2.194 -0.672 0.499
Ho -7.019 3.305 -0.505
Ho -4.035 5.732 5.419
Ho -0.353 -1.935 5.792

15.
4
Lattice="-1.314 0.929 4.790 2.923 -1.634 3.784 2.653 3.305 2.752" Properties=species:S:1:pos:R:3 comment="HoThZnCu | Alexandria | PBE | relaxed" delta_e_f_ev_per_atom=-0.17 crystal_system=cubic final_energy_ev_per_cell=-18.04 pbc="T T T"
Th 2.131 1.300 5.663
Ho 0.000 0.000 0.000
Cu 1.066 0.650 2.831
Zn 3.197 1.950 8.494

16.
4
Lattice="-5.389 1.302 7.603 -2.472 -0.650 9.057 -2.202 3.113 8.603" Properties=species:S:1:pos:R:3 comment="CoHgTe2 | Alexandria | PBE | relaxed" crystal_system=trigonal final_energy_ev_per_cell=-14.10 raw_formation_energy_ev_per_atom=-0.10 pbc="T T T"
Te -1.202 0.450 3.017
Hg 0.000 0.000 0.000
Co -5.031 1.883 12.632
Te -8.861 3.316 22.247

17.
5
Lattice="-3.027 -1.951 0.994 2.131 -3.014 0.572 1.354 4.337 5.617" Properties=species:S:1:pos:R:3 comment="HfTaAl3 | Alexandria | PBE | relaxed" delta_e_f_ev_per_atom=0.03 crystal_system=tetragonal final_energy_ev_per_cell=-32.87 pbc="T T T"
Al 1.556 -0.503 3.750
Al -1.023 0.028 3.961
Al 0.757 1.550 5.349
Ta -0.232 -2.040 2.310
Hf 0.021 0.044 0.151

18.
4
Lattice="5.152 0.000 0.000 2.576 4.462 0.000 2.576 1.487 4.207" Properties=species:S:1:pos:R:3 comment="TbNdCdRh | Alexandria | PBE | relaxed" delta_e_f_ev_per_atom=-0.46 crystal_system=cubic final_energy_ev_per_cell=-19.52 pbc="T T T"
Tb 0.000 0.000 0.000
Rh 2.576 1.487 1.052
Nd 5.152 2.975 2.103
Cd 7.728 4.462 3.155

19.
8
Lattice="-1.471 -3.274 -2.690 -4.005 -3.055 5.907 -7.127 3.073 0.158" Properties=species:S:1:pos:R:3 comment="SmHo2ErBi4 | Alexandria | PBE | relaxed" delta_e_f_ev_per_atom=-0.85 crystal_system=monoclinic final_energy_ev_per_cell=-40.76 pbc="T T T"
Bi -8.331 -0.014 4.572
Er -5.566 0.009 3.033
Sm -2.738 -3.164 1.609
Bi -7.055 -0.100 0.241
Bi -4.272 -3.242 -1.197
Ho -7.127 3.073 0.158
Bi -5.548 -3.155 3.135
Ho -4.299 -0.101 -1.266

20.
4
Lattice="-4.893 -1.791 1.007 -1.503 -4.763 -1.793 -0.710 -4.012 3.400" Properties=species:S:1:pos:R:3 comment="LaSbSe2 | Alexandria | PBE | relaxed" crystal_system=cubic final_energy_ev_per_cell=-17.88 raw_formation_energy_ev_per_atom=-0.47 pbc="T T T"
Sb -5.329 -7.925 1.960
Se 0.000 0.000 0.000
La -3.553 -5.283 1.307
Se -1.776 -2.642 0.653

21.
5
Lattice="-3.794 2.325 0.574 -2.362 -3.810 -0.178 0.395 -0.453 4.446" Properties=species:S:1:pos:R:3 comment="TaBe3Ag | Alexandria | PBE | relaxed" delta_e_f_ev_per_atom=1.66 crystal_system=cubic final_energy_ev_per_cell=-17.60 pbc="T T T"
Ta 0.000 0.000 0.000
Be -1.181 -1.905 -0.089
Be -1.897 1.162 0.287
Be 0.198 -0.226 2.223
Ag -2.880 -0.969 2.421

22.
5
Lattice="5.520 0.000 0.000 0.000 5.520 0.000 0.000 0.000 5.660" Properties=species:S:1:pos:R:3 comment="KP2PbS | Alexandria | PBE | relaxed" crystal_system=tetragonal final_energy_ev_per_cell=-12.96 raw_formation_energy_ev_per_atom=1.36 pbc="T T T"
Pb 2.760 2.760 2.830
P 2.760 0.000 0.000
K 0.000 0.000 0.000
P 0.000 2.760 0.000
S 0.000 0.000 2.830

23.
4
Lattice="-1.883 1.717 2.913 0.705 -1.064 3.653 4.902 5.265 2.636" Properties=species:S:1:pos:R:3 comment="KPbClO | Alexandria | PBE | relaxed" crystal_system=trigonal final_energy_ev_per_cell=-16.98 raw_formation_energy_ev_per_atom=-1.34 pbc="T T T"
Pb -0.836 0.979 6.595
Cl 2.806 4.451 6.903
K 1.695 2.800 4.587
O 0.744 1.301 2.285

24.
10
Lattice="4.316 0.000 -1.379 0.000 4.519 0.000 0.210 0.000 8.151" Properties=species:S:1:pos:R:3 comment="Ti3ReW | Alexandria | PBE | relaxed" delta_e_f_ev_per_atom=-0.13 crystal_system=monoclinic final_energy_ev_per_cell=-99.49 pbc="T T T"
Re 0.834 1.556 4.728
Ti 2.553 1.556 2.665
Ti 0.405 3.815 3.385
Re 3.722 3.816 -1.133
Ti 4.151 1.556 0.210
Ti 3.460 1.557 5.524
Ti 2.003 3.815 0.931
Ti 1.306 3.816 6.223
W 1.587 1.557 -0.373
W 2.969 3.816 3.968

25.
12
Lattice="5.964 0.000 0.000 -2.982 5.165 0.000 0.000 0.000 8.212" Properties=species:S:1:pos:R:3 comment="Ce3Ge6Pt2Au | Alexandria | PBE | relaxed" delta_e_f_ev_per_atom=-0.40 crystal_system=trigonal final_energy_ev_per_cell=-65.69 pbc="T T T"
Ce 2.982 1.722 2.967
Ge 2.982 3.217 5.944
Pt 2.982 1.722 8.176
Ge -1.295 4.191 2.268
Ge 1.295 4.191 2.268
Ge 4.277 0.974 5.944
Pt 0.000 3.444 0.036
Ce 0.000 3.444 5.245
Ce 0.000 0.000 0.000
Ge 1.687 0.974 5.944
Au 0.000 0.000 4.106
Ge 0.000 1.949 2.268

26.
3
Lattice="-0.529 -3.377 -0.158 2.953 -0.383 -1.686 1.892 1.131 6.529" Properties=species:S:1:pos:R:3 comment="ErTmGa | Alexandria | PBE | relaxed" delta_e_f_ev_per_atom=-0.39 crystal_system=tetragonal final_energy_ev_per_cell=-13.22 pbc="T T T"
Ga 1.940 -2.056 0.392
Er 4.127 -2.584 4.344
Tm 1.634 -0.394 2.952